LiV2S2O8F6: optimized geometry, PBE with a Hubbard U.

Calculated values
calculated volume = 14.764 Å³/atom
total magnetization = 1.76 μB per cell
raw total energy = -5.8975 eV per atom
crystal system = monoclinic

Cell lengths 7.191, 7.710, 11.804 Å; angles 59.02, 90.00, 90.00 degrees
Each line ends with the local moment (μB).
Sites, in units of the cell vectors:
S 0.525 0.365 0.468  0.01
S 0.475 0.365 0.968  0.01
S 0.994 0.617 0.541  0.00
S 0.006 0.617 0.041  0.00
V 0.239 0.994 0.004  0.03
V 0.262 0.003 0.492  1.03
V 0.738 0.003 0.992  1.03
V 0.761 0.994 0.504  0.03
F 0.244 0.937 0.664  -0.03
F 0.292 0.151 0.834  0.00
F 0.517 0.879 0.538  0.00
F 0.483 0.879 0.038  0.00
F 0.756 0.937 0.164  -0.03
F 0.708 0.151 0.334  0.00
F 0.722 0.020 0.838  -0.04
F 0.844 0.848 0.670  0.00
F 0.010 0.116 0.459  0.00
F 0.990 0.116 0.959  0.00
F 0.156 0.848 0.170  0.00
F 0.278 0.020 0.338  -0.04
O 0.365 0.269 0.433  -0.02
O 0.329 0.184 0.040  -0.01
O 0.385 0.517 0.847  -0.03
O 0.468 0.420 0.561  -0.04
O 0.615 0.517 0.347  -0.03
O 0.532 0.420 0.061  -0.04
O 0.635 0.269 0.933  -0.02
O 0.671 0.184 0.540  -0.01
O 0.847 0.718 0.070  -0.01
O 0.841 0.791 0.475  0.00
O 0.964 0.580 0.935  -0.02
O 0.924 0.454 0.663  -0.02
O 0.076 0.454 0.163  -0.02
O 0.036 0.580 0.435  -0.02
O 0.153 0.718 0.570  -0.01
O 0.159 0.791 0.975  0.00
Li 0.864 0.654 0.279  0.00
Li 0.136 0.654 0.779  0.00